A plane-wave DFT calculation with PBE was carried out for crystalline Sc2BeSe at its relaxed geometry.

Summary:
The uncorrected formation energy comes out at -0.4838 eV/atom.

a = 5.659 Å, b = 5.659 Å, c = 5.659 Å
α = 144.17°, β = 137.46°, γ = 56.80°
Sites, in units of the cell vectors:
Sc 0.986 0.986 0.000
Sc 0.247 0.747 0.500
Se 0.547 0.547 0.000
Be 0.720 0.220 0.500

---

A plane-wave DFT calculation with PBE was carried out for crystalline Ni5S8 at its relaxed geometry.

Summary:
The uncorrected formation energy comes out at -0.2851 eV/atom.

a = 6.681 Å, b = 6.681 Å, c = 6.681 Å
α = 60.00°, β = 60.00°, γ = 60.00°
Sites, in units of the cell vectors:
Ni 0.882 0.373 0.373
S 0.153 0.616 0.616
S 0.136 0.136 0.593
Ni 0.750 0.750 0.750
S 0.616 0.153 0.616
S 0.616 0.616 0.616
S 0.616 0.616 0.153
S 0.136 0.136 0.136
S 0.593 0.136 0.136
S 0.136 0.593 0.136
Ni 0.373 0.373 0.373
Ni 0.373 0.373 0.882
Ni 0.373 0.882 0.373

---

A plane-wave DFT calculation with PBE was carried out for crystalline GaHO at its relaxed geometry.

a = 3.025 Å, b = 5.169 Å, c = 5.145 Å
α = 90.00°, β = 95.31°, γ = 90.00°
Sites, in units of the cell vectors:
Ga 0.994 0.000 0.197
Ga 0.994 0.500 0.697
O 0.526 0.000 0.392
H 0.971 0.000 0.896
O 0.526 0.500 0.892
H 0.971 0.500 0.396

---

A plane-wave DFT calculation with PBE was carried out for crystalline PmCrSb2 at its relaxed geometry.

Summary:
The uncorrected formation energy comes out at 0.1779 eV/atom.

a = 3.465 Å, b = 3.465 Å, c = 10.832 Å
α = 80.80°, β = 80.80°, γ = 60.00°
Site moments in Bohr magnetons follow the coordinates.
Sites, in units of the cell vectors:
Cr 0.000 0.000 0.000  3.86
Pm 0.500 0.500 0.500  0.03
Sb 0.085 0.085 0.745  -0.03
Sb 0.915 0.915 0.255  -0.03

---

A plane-wave DFT calculation with PBE was carried out for crystalline LiTbDy2Se4 at its relaxed geometry.

Summary:
The uncorrected formation energy comes out at -1.7468 eV/atom.

a = 4.046 Å, b = 7.029 Å, c = 7.027 Å
α = 109.28°, β = 90.00°, γ = 90.00°
Sites, in units of the cell vectors:
Se 0.000 0.257 0.756
Se 0.500 0.744 0.754
Li 0.500 0.500 0.000
Se 0.500 0.256 0.246
Dy 0.000 0.500 0.500
Tb 0.000 0.000 0.000
Se 0.000 0.743 0.244
Dy 0.500 0.000 0.500

---

A plane-wave DFT calculation with PBE was carried out for crystalline CsRhPb6 at its relaxed geometry.

Summary:
The calculation puts the formation energy at -0.0439 eV/atom.

a = 4.994 Å, b = 4.994 Å, c = 10.541 Å
α = 90.00°, β = 90.00°, γ = 90.00°
Sites, in units of the cell vectors:
Rh 0.000 0.000 0.500
Pb 0.000 0.500 0.349
Pb 0.500 0.000 0.349
Pb 0.500 0.500 0.161
Pb 0.500 0.500 0.839
Cs 0.000 0.000 0.000
Pb 0.000 0.500 0.651
Pb 0.500 0.000 0.651

---

Quick rundown of uncorrected energy, same order as above: -5.4522, -5.0487, -4.5026, -5.4768, -5.4576, -3.8508 eV per atom